(1)
Material: Y2ScHgC
Method: DFT, PBE-GGA
State: relaxed

```
Y2ScHgC
1.0
4.983 0.000 0.000
0.000 4.983 0.000
0.000 0.000 4.444
Y Sc Hg C
2 1 1 1
Direct
0.000 0.500 0.000
0.500 0.000 0.000
0.000 0.000 0.500
0.500 0.500 0.500
0.000 0.000 0.000
```

Results
crystal system	tetragonal
DFT formation energy	-466	meV/atom
total energy	-6.224	eV per atom
symmetry	P4/mmm

---

(2)
Material: TaCl
Method: DFT, PBE-GGA
State: relaxed

```
TaCl
1.0
-4.170 4.170 4.170
4.170 -4.170 4.170
4.170 4.170 -4.170
Ta Cl
4 4
Direct
0.000 0.000 0.221
0.000 0.221 0.000
0.221 0.000 0.000
0.779 0.779 0.779
0.000 0.000 0.583
0.000 0.583 0.000
0.417 0.417 0.417
0.583 0.000 0.000
```

Results
crystal system	cubic
total energy	-6.357	eV per atom
symmetry	I-43m
E_form (uncorrected)	492.4	meV per atom